1.
Density functional theory data (PBE-GGA) for DyYEr3Tm after structural relaxation.

Cell and atoms, written as POSCAR:
```
DyYEr3Tm
1.0
-5.039 1.386 1.161
-0.928 -5.499 -9.802
-1.121 -6.163 2.492
Dy Y Er Tm
2 2 6 2
direct
0.666 0.333 0.472
0.334 0.667 0.528
0.369 0.738 0.968
0.631 0.262 0.032
0.831 0.662 0.272
0.775 0.549 0.811
0.475 0.950 0.276
0.225 0.451 0.189
0.525 0.050 0.724
0.169 0.338 0.728
0.073 0.146 0.347
0.927 0.854 0.653
```

SG: C2/m, No. 12
Formation energy in eV per atom: 0.217

---

2.
Density functional theory data (PBE-GGA) for Ba2CoIr after structural relaxation.

Cell and atoms, written as POSCAR:
```
Ba2CoIr
1.0
0.000 3.836 3.836
3.836 0.000 3.836
3.836 3.836 0.000
Ir Co Ba
1 1 2
direct
0.500 0.500 0.500
0.000 0.000 0.000
0.250 0.250 0.250
0.750 0.750 0.750
```

SG: Fm-3m, No. 225
Polymorph energy (0 for the lowest one) in eV/atom: 0.559
Formation energy in eV per atom: 0.511

---

3.
Density functional theory data (PBE-GGA) for Ac2LaPr5Dy after structural relaxation.

Cell and atoms, written as POSCAR:
```
Ac2LaPr5Dy
1.0
-1.882 1.108 5.485
1.471 -10.733 -0.504
10.622 1.297 3.383
Ac La Pr Dy
4 2 10 2
direct
0.877 0.753 0.828
0.109 0.217 0.735
0.123 0.247 0.328
0.891 0.783 0.235
0.788 0.576 0.501
0.212 0.424 0.001
0.402 0.805 0.029
0.713 0.426 0.799
0.476 0.953 0.745
0.292 0.584 0.692
0.978 0.956 0.530
0.598 0.195 0.529
0.287 0.574 0.299
0.524 0.047 0.245
0.708 0.416 0.192
0.022 0.044 0.030
0.590 0.179 0.964
0.410 0.821 0.464
```

SG: Cmc2_1, No. 36
Formation energy in eV per atom: 0.120

---

4.
Density functional theory data (PBE-GGA) for K2LiYRu after structural relaxation.

Cell and atoms, written as POSCAR:
```
K2LiYRu
1.0
4.976 0.000 0.000
0.000 6.099 0.000
0.000 0.000 4.976
Y Ru K Li
1 1 2 1
direct
0.000 0.500 0.000
0.500 0.500 0.500
0.000 0.000 0.500
0.500 0.000 0.000
0.000 0.000 0.000
```

SG: P4/mmm, No. 123
Formation energy in eV per atom: 1.284

---

5.
Density functional theory data (PBE-GGA) for NaCdPb2 after structural relaxation.

Cell and atoms, written as POSCAR:
```
NaCdPb2
1.0
3.341 0.000 -0.418
0.000 5.130 0.000
-0.021 0.000 13.385
Na Cd Pb
2 2 4
direct
0.601 0.250 0.202
0.399 0.750 0.798
0.228 0.250 0.455
0.772 0.750 0.545
0.965 0.250 0.929
0.035 0.750 0.071
0.837 0.250 0.674
0.163 0.750 0.326
```

SG: Cmcm, No. 63
Formation energy in eV per atom: -0.059

---

6.
Density functional theory data (PBE-GGA) for KBa2F6 after structural relaxation.

Cell and atoms, written as POSCAR:
```
KBa2F6
1.0
-2.983 1.831 -2.964
-0.447 -5.150 -2.733
-3.546 -0.113 7.047
K Ba F
1 2 6
direct
0.000 0.000 0.000
0.335 0.335 0.671
0.665 0.665 0.329
0.827 0.082 0.655
0.173 0.427 0.345
0.173 0.918 0.345
0.500 0.262 0.000
0.827 0.573 0.655
0.500 0.738 0.000
```

Formation energy from raw total energies in eV per formula unit: -28.57
SG: Immm, No. 71

---

7.
Density functional theory data (PBE-GGA) for ZnInPt2 after structural relaxation.

Cell and atoms, written as POSCAR:
```
ZnInPt2
1.0
-1.068 -5.020 -0.103
-0.189 -4.265 -2.850
4.178 -1.982 0.792
In Pt Zn
1 2 1
direct
0.255 0.255 0.196
0.001 0.001 0.048
0.754 0.754 0.691
0.491 0.491 0.565
```

SG: Cm, No. 8
Formation energy in eV per atom: -0.392

---

8.
Density functional theory data (PBE-GGA) for LaCr2Ru after structural relaxation.

Cell and atoms, written as POSCAR:
```
LaCr2Ru
1.0
-2.614 3.542 -2.756
2.157 -3.940 -2.606
-2.373 -1.525 -0.626
Cr La Ru
2 1 1
direct
0.000 0.000 0.000
0.500 0.500 0.000
0.500 0.000 0.500
0.000 0.500 0.500
```

SG: C2/m, No. 12
Polymorph energy (0 for the lowest one) in eV/atom: 0.434
Formation energy in eV per atom: 0.746